Record 1
## TbDy5Ho2Th (PBE)

Data for a relaxed structure of TbDy5Ho2Th.

## Properties
DOS(E_F): 1.3481 states/eV/atom
mass density: 8.62 g/cm³
ΔH_f (0 K): 0.162 eV/atom

Cell: 11.1020 11.1020 9.6770 Å, 90.00 90.00 150.30°
Positions (direct):
Tb1 0.1895 0.8105 0.5000
Tb2 0.8105 0.1895 0.0000
Dy1 0.0144 0.9856 0.5003
Dy2 0.2720 0.7280 0.8054
Dy3 0.3043 0.6957 0.1984
Dy4 0.3986 0.6014 0.5241
Dy5 0.4686 0.5314 0.2245
Dy6 0.5314 0.4686 0.7245
Dy7 0.6014 0.3986 0.0241
Dy8 0.6957 0.3043 0.6984
Dy9 0.7280 0.2720 0.3054
Dy10 0.9856 0.0144 0.0003
Ho1 0.1159 0.8841 0.8127
Ho2 0.1288 0.8712 0.1943
Ho3 0.8712 0.1288 0.6943
Ho4 0.8841 0.1159 0.3127
Th1 0.4057 0.5943 0.9047
Th2 0.5943 0.4057 0.4047


Record 2
## Pr7Nd2Dy3 (PBE)

Data for a relaxed structure of Pr7Nd2Dy3.

## Properties
DOS(E_F): 1.7057 states/eV/atom
mass density: 6.94 g/cm³
ΔH_f (0 K): 0.113 eV/atom

Cell: 19.6597 19.6597 3.6806 Å, 90.00 90.00 162.75°
Positions (direct):
Pr1 0.0000 0.0000 0.0000
Pr2 0.0721 0.9279 0.5000
Pr3 0.2317 0.7683 0.0000
Pr4 0.4086 0.5914 0.0000
Pr5 0.5914 0.4086 0.0000
Pr6 0.7683 0.2317 0.0000
Pr7 0.9279 0.0721 0.5000
Nd1 0.1488 0.8512 0.0000
Nd2 0.8512 0.1488 0.0000
Dy1 0.3150 0.6850 0.5000
Dy2 0.5000 0.5000 0.5000
Dy3 0.6850 0.3150 0.5000


Record 3
## La2SmZn3 (PBE)

Data for a relaxed structure of La2SmZn3.

## Properties
DOS(E_F): 1.0430 states/eV/atom
mass density: 6.70 g/cm³
ΔH_f (0 K): -0.311 eV/atom

Cell: 5.2605 5.2605 6.4533 Å, 90.00 90.00 120.00°
Positions (direct):
La1 0.3333 0.6667 0.1704
La2 0.6667 0.3333 0.8296
Sm1 0.0000 0.0000 0.5000
Zn1 0.0000 0.0000 0.0000
Zn2 0.3333 0.6667 0.6615
Zn3 0.6667 0.3333 0.3385


Record 4
## AcH4Ir (PBE)

Data for a relaxed structure of AcH4Ir.

## Properties
DOS(E_F): 0.0000 states/eV/atom
energy: -4.962 eV/atom
mass density: 9.79 g/cm³

Cell: 4.7007 4.7007 7.6597 Å, 102.77 102.77 61.41°
Positions (direct):
Ac1 0.2207 0.7793 0.7500
Ac2 0.7793 0.2207 0.2500
H1 0.1436 0.2641 0.5790
H2 0.2489 0.6747 0.0899
H3 0.2641 0.1436 0.0790
H4 0.3253 0.7511 0.4101
H5 0.6747 0.2489 0.5899
H6 0.7359 0.8564 0.9210
H7 0.7511 0.3253 0.9101
H8 0.8564 0.7359 0.4210
Ir1 0.0000 0.5000 0.0000
Ir2 0.5000 0.0000 0.5000


Record 5
## LiTcSe4 (PBE)

Data for a relaxed structure of LiTcSe4.

## Properties
DOS(E_F): 0.6891 states/eV/atom
energy: -3.644 eV/atom
mass density: 5.27 g/cm³

Cell: 5.7234 5.7234 5.7234 Å, 60.00 60.00 60.00°
Positions (direct):
Li1 0.0000 0.0000 0.0000
Tc1 0.2500 0.2500 0.2500
Se1 0.1253 0.6249 0.6249
Se2 0.6249 0.1253 0.6249
Se3 0.6249 0.6249 0.1253
Se4 0.6249 0.6249 0.6249


Record 6
## KRuAu2 (PBE)

Data for a relaxed structure of KRuAu2.

## Properties
DOS(E_F): 0.9361 states/eV/atom
mass density: 6.86 g/cm³
ΔH_f (0 K): 0.628 eV/atom

Cell: 5.3952 5.3952 17.7664 Å, 90.00 90.00 90.00°
Positions (direct):
K1 0.0000 0.2500 0.3750
K2 0.0000 0.7500 0.6250
K3 0.5000 0.2500 0.1250
K4 0.5000 0.7500 0.8750
Ru1 0.0000 0.2500 0.8750
Ru2 0.0000 0.7500 0.1250
Ru3 0.5000 0.2500 0.6250
Ru4 0.5000 0.7500 0.3750
Au1 0.0000 0.0000 0.0000
Au2 0.0000 0.5000 0.0000
Au3 0.2500 0.2500 0.7500
Au4 0.2500 0.7500 0.2500
Au5 0.5000 0.0000 0.5000
Au6 0.5000 0.5000 0.5000
Au7 0.7500 0.2500 0.7500
Au8 0.7500 0.7500 0.2500


Record 7
## K2ReSbCl (PBE)

Data for a relaxed structure of K2ReSbCl.

## Properties
DOS(E_F): 0.3734 states/eV/atom
energy: -3.864 eV/atom
mass density: 3.15 g/cm³

Cell: 6.6504 6.6504 5.0252 Å, 90.00 90.00 90.00°
Positions (direct):
K1 0.0000 0.5000 0.0000
K2 0.5000 0.0000 0.0000
Re1 0.0000 0.0000 0.0000
Sb1 0.0000 0.0000 0.5000
Cl1 0.5000 0.5000 0.5000


Record 8
## BeOs3O (PBE)

Data for a relaxed structure of BeOs3O.

## Properties
DOS(E_F): 1.1109 states/eV/atom
energy: -7.482 eV/atom
mass density: 15.18 g/cm³

Cell: 4.0239 4.0239 4.0239 Å, 90.00 90.00 90.00°
Positions (direct):
Be1 0.0000 0.0000 0.0000
Os1 0.0000 0.5000 0.5000
Os2 0.5000 0.0000 0.5000
Os3 0.5000 0.5000 0.0000
O1 0.5000 0.5000 0.5000


Record 9
## Na5TiTe5 (PBE)

Data for a relaxed structure of Na5TiTe5.

## Properties
DOS(E_F): 0.9535 states/eV/atom
energy: -3.424 eV/atom
mass density: 3.63 g/cm³

Cell: 7.9551 7.9551 8.8050 Å, 107.08 107.08 43.82°
Positions (direct):
Na1 0.0000 0.0000 0.0000
Na2 0.2977 0.2977 0.1757
Na3 0.3146 0.3146 0.6417
Na4 0.6854 0.6854 0.3583
Na5 0.7023 0.7023 0.8243
Ti1 0.0000 0.0000 0.5000
Te1 0.1341 0.1341 0.3395
Te2 0.1461 0.1461 0.8006
Te3 0.5000 0.5000 0.5000
Te4 0.8539 0.8539 0.1994
Te5 0.8659 0.8659 0.6605


Record 10
## AcTlP2O6 (PBE)

Data for a relaxed structure of AcTlP2O6.

## Properties
DOS(E_F): 0.0000 states/eV/atom
energy: -6.861 eV/atom
mass density: 6.15 g/cm³

Cell: 5.7632 5.7632 5.7632 Å, 68.28 68.28 68.28°
Positions (direct):
Ac1 0.0000 0.0000 0.0000
Tl1 0.5000 0.5000 0.5000
P1 0.2986 0.2986 0.2986
P2 0.7014 0.7014 0.7014
O1 0.0689 0.5143 0.2077
O2 0.2077 0.0689 0.5143
O3 0.4857 0.7923 0.9311
O4 0.5143 0.2077 0.0689
O5 0.7923 0.9311 0.4857
O6 0.9311 0.4857 0.7923


Record 11
## BaIn6Pb6 (PBE)

Data for a relaxed structure of BaIn6Pb6.

## Properties
DOS(E_F): 0.5687 states/eV/atom
mass density: 8.47 g/cm³
ΔH_f (0 K): -0.083 eV/atom

Cell: 8.6594 8.6594 8.6594 Å, 137.99 98.67 96.10°
Positions (direct):
Ba1 0.0000 0.0000 0.0000
In1 0.0000 0.0000 0.5000
In2 0.0000 0.5000 0.0000
In3 0.2163 0.7163 0.5000
In4 0.5000 0.0000 0.0000
In5 0.5000 0.5000 0.5000
In6 0.7837 0.2837 0.5000
Pb1 0.2116 0.5000 0.7116
Pb2 0.3551 0.0000 0.3551
Pb3 0.3556 0.3556 0.0000
Pb4 0.6444 0.6444 0.0000
Pb5 0.6449 0.0000 0.6449
Pb6 0.7884 0.5000 0.2884


Record 12
## SrPbCl2 (PBE)

Data for a relaxed structure of SrPbCl2.

## Properties
DOS(E_F): 0.4593 states/eV/atom
energy: -3.528 eV/atom
mass density: 4.76 g/cm³

Cell: 4.0966 4.0966 7.6048 Å, 90.00 90.00 90.00°
Positions (direct):
Sr1 0.0000 0.0000 0.0000
Pb1 0.5000 0.5000 0.6371
Cl1 0.0000 0.0000 0.3618
Cl2 0.5000 0.5000 0.0509


Please write out number 9 again, unchanged.
## Na5TiTe5 (PBE)

Data for a relaxed structure of Na5TiTe5.

## Properties
DOS(E_F): 0.9535 states/eV/atom
energy: -3.424 eV/atom
mass density: 3.63 g/cm³

Cell: 7.9551 7.9551 8.8050 Å, 107.08 107.08 43.82°
Positions (direct):
Na1 0.0000 0.0000 0.0000
Na2 0.2977 0.2977 0.1757
Na3 0.3146 0.3146 0.6417
Na4 0.6854 0.6854 0.3583
Na5 0.7023 0.7023 0.8243
Ti1 0.0000 0.0000 0.5000
Te1 0.1341 0.1341 0.3395
Te2 0.1461 0.1461 0.8006
Te3 0.5000 0.5000 0.5000
Te4 0.8539 0.8539 0.1994
Te5 0.8659 0.8659 0.6605